! CeEr2Ni | Alexandria | GGA-PBE | optimized geometry; values from VASP
&SYSTEM
  ibrav = 0, nat = 16, ntyp = 3
/
ATOMIC_SPECIES
Ce 140.12 Ce.upf
Er 167.26 Er.upf
Ni 58.69 Ni.upf
ATOMIC_POSITIONS crystal
Ce 0.037 0.250 0.147
Ce 0.463 0.750 0.647
Ce 0.537 0.250 0.353
Ce 0.963 0.750 0.853
Er 0.177 0.066 0.672
Er 0.177 0.434 0.672
Er 0.323 0.566 0.172
Er 0.323 0.934 0.172
Er 0.677 0.066 0.828
Er 0.677 0.434 0.828
Er 0.823 0.566 0.328
Er 0.823 0.934 0.328
Ni 0.122 0.750 0.452
Ni 0.378 0.250 0.952
Ni 0.622 0.750 0.048
Ni 0.878 0.250 0.548
CELL_PARAMETERS angstrom
6.774 0.000 0.000
0.000 9.519 0.000
0.000 0.000 6.322
! Magnetic moment ... 3.7 μB/cell
! Crystal system ... orthorhombic
! N(E_F) ... 31.40 states/eV per cell
! Energy of formation ... -0.2010 eV/atom
! Uncorrected energy ... -5.41 eV per atom
! Energy relative to the lowest polymorph listed for this composition ... 0 meV per atom